Compound: LiMnGaF6
Source: the Alexandria database
Functional: GGA+U
Structure: relaxed

Output
Relative energy among the computed polymorphs, meV/atom: 0
Volume, Å³ per cell: 321

abc: 8.7848 8.7848 4.8034
angles: 90.00 90.00 120.00
Each line ends with the local moment (μB).
Fractional positions:
Ga 0.3333 0.6667 0.5026  0.01
Ga 0.6667 0.3333 0.4974  0.01
Ga 0.0000 0.0000 0.0000  0.00
Li 0.2953 0.0000 0.5000  0.00
Li 0.7047 0.7047 0.5000  0.00
Li 0.0000 0.2953 0.5000  0.00
F 0.5436 0.7777 0.2807  0.02
F 0.5819 0.4566 0.2723  0.02
F 0.0981 0.8877 0.7777  0.02
F 0.1254 0.5434 0.7277  0.02
F 0.7896 0.9019 0.7777  0.02
F 0.8877 0.0981 0.2223  0.02
F 0.1123 0.2104 0.7777  0.02
F 0.2223 0.7659 0.2807  0.02
F 0.7777 0.5436 0.7193  0.02
F 0.7659 0.2223 0.7193  0.02
F 0.2104 0.1123 0.2223  0.02
F 0.4564 0.2341 0.7193  0.02
F 0.4181 0.8746 0.7277  0.02
F 0.9019 0.7896 0.2223  0.02
F 0.5434 0.1254 0.2723  0.02
F 0.8746 0.4181 0.2723  0.02
F 0.2341 0.4564 0.2807  0.02
F 0.4566 0.5819 0.7277  0.02
Mn 0.0000 0.6367 0.0000  4.70
Mn 0.3633 0.3633 0.0000  4.70
Mn 0.6367 0.0000 0.0000  4.70

Compound: LiMnGaF6
Source: the Alexandria database
Functional: GGA+U
Structure: relaxed

Output
Relative energy among the computed polymorphs, meV/atom: 3
Volume, Å³ per cell: 210

abc: 5.1000 5.1000 9.3227
angles: 90.00 90.00 120.00
Each line ends with the local moment (μB).
Fractional positions:
F 0.9823 0.6444 0.3650  0.02
F 0.3556 0.3378 0.3650  0.02
F 0.9823 0.3378 0.1349  0.02
F 0.3556 0.0177 0.1349  0.02
F 0.3378 0.9823 0.6350  0.02
F 0.3378 0.3556 0.8650  0.02
F 0.6444 0.6622 0.6350  0.02
F 0.0177 0.3556 0.6350  0.02
F 0.6444 0.9823 0.8650  0.02
F 0.6622 0.0177 0.3650  0.02
F 0.6622 0.6444 0.1349  0.02
F 0.0177 0.6622 0.8650  0.02
Li 0.6667 0.3333 0.7500  0.00
Li 0.3333 0.6667 0.2500  0.00
Ga 0.3333 0.6667 0.7500  0.01
Ga 0.6667 0.3333 0.2500  0.01
Mn 0.0000 0.0000 0.5000  4.71
Mn 0.0000 0.0000 0.0000  4.71

Compound: Li2MnGaF8
Source: the Alexandria database
Functional: GGA+U
Structure: relaxed

Output
E, eV/atom: -5.0567
Volume, Å³ per cell: 139

abc: 5.6613 5.6613 5.6613
angles: 112.49 112.49 103.59
Each line ends with the local moment (μB).
Fractional positions:
F 0.9518 0.2464 0.2946  -0.01
F 0.9007 0.6894 0.2113  0.01
F 0.3428 0.0482 0.2946  -0.01
F 0.7536 0.0482 0.7054  -0.01
F 0.9518 0.6572 0.7054  -0.01
F 0.4781 0.6894 0.7887  0.01
F 0.3106 0.0993 0.7887  0.01
F 0.3106 0.5219 0.2113  0.01
Mn 0.0000 0.0000 0.0000  3.84
Li 0.5000 0.5000 0.0000  0.00
Li 0.7500 0.2500 0.5000  0.00
Ga 0.2500 0.7500 0.5000  0.00